Record 1
A relaxed structure of PIrAu2. Source: the Alexandria database, functional PBE-GGA.

a b c (Å): 8.8492 8.8492 8.8492
angles (deg): 19.43 19.43 19.43
Closest atoms and distances in Å follow each position.
Positions (direct):
P1 0.0000 0.0000 0.0000  3 Ir 2.33
Ir1 0.2734 0.2734 0.2734  3 P 2.33
Au1 0.5165 0.5165 0.5165  3 Ir 2.92, 9 Au 2.96-2.99
Au2 0.7574 0.7574 0.7574  3 P 2.93, 9 Au 2.96-2.99

Record 2
A relaxed structure of PmCuRh4. Source: the Alexandria database, functional PBE-GGA.

a b c (Å): 5.2554 5.2554 5.2554
angles (deg): 60.00 60.00 60.00
Closest atoms and distances in Å follow each position.
Positions (direct):
Pm1 0.0000 0.0000 0.0000  12 Rh 3.08, 4 Cu 3.22
Cu1 0.7500 0.7500 0.7500  12 Rh 3.08, 4 Pm 3.22
Rh1 0.3756 0.3756 0.3756  6 Rh 2.62-2.64
Rh2 0.3756 0.3756 0.8733  6 Rh 2.62-2.64
Rh3 0.3756 0.8733 0.3756  6 Rh 2.62-2.64
Rh4 0.8733 0.3756 0.3756  6 Rh 2.62-2.64

Record 3
A relaxed structure of Li4PmEr3Te8. Source: the Alexandria database, functional PBE-GGA.

Results
The value obtained for the formation energy without anion corrections is -1283 meV per atom.

a b c (Å): 8.6614 8.6614 8.6614
angles (deg): 60.24 60.24 60.24
Closest atoms and distances in Å follow each position.
Positions (direct):
Li1 0.0000 0.0000 0.0000  6 Te 3.00
Li2 0.0000 0.5000 0.5000  6 Te 3.06
Li3 0.5000 0.0000 0.5000  6 Te 3.06
Li4 0.5000 0.5000 0.0000  6 Te 3.06
Pm1 0.5000 0.5000 0.5000  6 Te 3.14
Er1 0.0000 0.0000 0.5000  6 Te 3.07-3.08
Er2 0.0000 0.5000 0.0000  6 Te 3.07-3.08
Er3 0.5000 0.0000 0.0000  6 Te 3.07-3.08
Te1 0.2445 0.2445 0.7548  3 Li 3.00-3.06, 2 Er 3.07, 1 Pm 3.14
Te2 0.2445 0.7548 0.2445  3 Li 3.00-3.06, 2 Er 3.07, 1 Pm 3.14
Te3 0.2452 0.7555 0.7555  3 Li 3.00-3.06, 2 Er 3.07, 1 Pm 3.14
Te4 0.2508 0.2508 0.2508  3 Li 3.06, 3 Er 3.08
Te5 0.7492 0.7492 0.7492  3 Li 3.06, 3 Er 3.08
Te6 0.7548 0.2445 0.2445  3 Li 3.00-3.06, 2 Er 3.07, 1 Pm 3.14
Te7 0.7555 0.2452 0.7555  3 Li 3.00-3.06, 2 Er 3.07, 1 Pm 3.14
Te8 0.7555 0.7555 0.2452  3 Li 3.00-3.06, 2 Er 3.07, 1 Pm 3.14

Record 4
A relaxed structure of Cs2BaCl. Source: the Alexandria database, functional PBE-GGA.

Results
The value obtained for the formation energy without anion corrections is -309 meV per atom.

a b c (Å): 7.3229 7.3229 7.3229
angles (deg): 60.00 60.00 60.00
Closest atoms and distances in Å follow each position.
Positions (direct):
Cs1 0.2500 0.2500 0.2500  4 Ba 4.48, 4 Cl 4.48
Cs2 0.7500 0.7500 0.7500  4 Ba 4.48, 4 Cl 4.48
Ba1 0.0000 0.0000 0.0000  8 Cs 4.48
Cl1 0.5000 0.5000 0.5000  8 Cs 4.48

Record 5
A relaxed structure of Sm4SiGeTe2. Source: the Alexandria database, functional PBE-GGA.

Results
The value obtained for the formation energy without anion corrections is -1163 meV per atom.

a b c (Å): 7.4722 4.3237 7.6557
angles (deg): 90.00 109.01 90.00
Closest atoms and distances in Å follow each position.
Positions (direct):
Sm1 0.2394 0.0000 0.2224  2 Si 2.96, 1 Ge 2.97, 3 Te 3.19-3.21
Sm2 0.2582 0.5000 0.7772  1 Si 2.96, 2 Ge 2.97, 3 Te 3.20
Sm3 0.7418 0.5000 0.2228  1 Si 2.96, 2 Ge 2.97, 3 Te 3.20
Sm4 0.7606 0.0000 0.7776  2 Si 2.96, 1 Ge 2.97, 3 Te 3.19-3.21
Si1 0.0000 0.5000 0.0000  6 Sm 2.96
Ge1 0.5000 0.0000 0.0000  6 Sm 2.97
Te1 0.0000 0.0000 0.5000  6 Sm 3.19-3.20
Te2 0.5000 0.5000 0.5000  6 Sm 3.20-3.21

Record 6
A relaxed structure of NaTiBe2O4. Source: the Alexandria database, functional PBE-GGA.

Results
The value obtained for the formation energy without anion corrections is -2249 meV per atom.

a b c (Å): 5.4001 5.4001 5.4001
angles (deg): 133.87 133.87 67.29
Closest atoms and distances in Å follow each position.
Positions (direct):
Na1 0.0000 0.0000 0.0000  4 O 2.15
Ti1 0.5000 0.5000 0.0000  4 O 1.95
Be1 0.2500 0.7500 0.5000  4 O 1.73
Be2 0.7500 0.2500 0.5000  4 O 1.73
O1 0.1180 0.1180 0.5466  2 Be 1.73
O2 0.4285 0.8820 0.0000  2 Be 1.73
O3 0.5715 0.5715 0.4534  2 Be 1.73
O4 0.8820 0.4285 0.0000  2 Be 1.73

Record 7
A relaxed structure of Sr2ZnAs3Rh4. Source: the Alexandria database, functional PBE-GGA.

a b c (Å): 4.2761 4.2761 10.3542
angles (deg): 90.00 90.00 90.00
Closest atoms and distances in Å follow each position.
Positions (direct):
Sr1 0.0000 0.5000 0.2451  8 Rh 3.25-3.40, 6 As 3.27-3.32, 2 Zn 3.32
Sr2 0.5000 0.0000 0.7549  8 Rh 3.25-3.40, 6 As 3.27-3.32, 2 Zn 3.32
Zn1 0.5000 0.5000 0.0000  4 Rh 2.52
As1 0.0000 0.0000 0.0000  4 Rh 2.52
As2 0.0000 0.5000 0.6335  5 Rh 2.46-2.55
As3 0.5000 0.0000 0.3665  5 Rh 2.46-2.55
Rh1 0.0000 0.0000 0.5000  4 As 2.55
Rh2 0.0000 0.5000 0.8712  3 As 2.46-2.52, 2 Zn 2.52
Rh3 0.5000 0.0000 0.1288  3 As 2.46-2.52, 2 Zn 2.52
Rh4 0.5000 0.5000 0.5000  4 As 2.55

Record 8
A relaxed structure of KRbZr2. Source: the Alexandria database, functional PBE-GGA.

a b c (Å): 7.6271 7.6271 7.6271
angles (deg): 98.38 98.38 135.11
Closest atoms and distances in Å follow each position.
Positions (direct):
K1 0.0000 0.0000 0.0000  2 Rb 2.91
K2 0.7500 0.2500 0.5000  2 Rb 2.91
Rb1 0.2500 0.7500 0.5000  2 K 2.91
Rb2 0.5000 0.5000 0.0000  2 K 2.91
Zr1 0.1255 0.6250 0.0005  2 Zr 2.91
Zr2 0.3750 0.3755 0.5005  2 Zr 2.91
Zr3 0.6245 0.1250 0.9995  2 Zr 2.91
Zr4 0.8750 0.8745 0.4995  2 Zr 2.91

Record 9
A relaxed structure of RbNa12Sn4. Source: the Alexandria database, functional PBE-GGA.

a b c (Å): 9.8736 9.8736 9.8736
angles (deg): 109.47 109.47 109.47
Closest atoms and distances in Å follow each position.
Positions (direct):
Rb1 0.0000 0.0000 0.0000  12 Na 4.30
Na1 0.1335 0.3247 0.8088  2 Sn 3.05
Na2 0.1912 0.5159 0.3247  2 Sn 3.05
Na3 0.1912 0.8665 0.6753  2 Sn 3.05
Na4 0.3247 0.1912 0.5159  2 Sn 3.05
Na5 0.3247 0.8088 0.1335  2 Sn 3.05
Na6 0.4841 0.6753 0.8088  2 Sn 3.05
Na7 0.5159 0.3247 0.1912  2 Sn 3.05
Na8 0.6753 0.1912 0.8665  2 Sn 3.05
Na9 0.6753 0.8088 0.4841  2 Sn 3.05
Na10 0.8088 0.1335 0.3247  2 Sn 3.05
Na11 0.8088 0.4841 0.6753  2 Sn 3.05
Na12 0.8665 0.6753 0.1912  2 Sn 3.05
Sn1 0.0000 0.0000 0.5000  6 Na 3.05
Sn2 0.0000 0.5000 0.0000  6 Na 3.05
Sn3 0.5000 0.0000 0.0000  6 Na 3.05
Sn4 0.5000 0.5000 0.5000  6 Na 3.05

Record 10
A relaxed structure of Nd3Np5P12. Source: the Alexandria database, functional PBE-GGA.

a b c (Å): 13.9611 13.9611 13.9611
angles (deg): 109.47 109.47 109.47
Closest atoms and distances in Å follow each position.
Positions (direct):
Nd1 0.1250 0.2500 0.3750  8 P 3.00-3.03
Nd2 0.1250 0.3750 0.7500  8 P 3.00-3.03
Nd3 0.2500 0.3750 0.1250  8 P 3.00-3.03
Nd4 0.2500 0.8750 0.6250  8 P 3.00-3.03
Nd5 0.3750 0.1250 0.2500  8 P 3.00-3.03
Nd6 0.3750 0.7500 0.1250  8 P 3.00-3.03
Nd7 0.6250 0.2500 0.8750  8 P 3.00-3.03
Nd8 0.6250 0.8750 0.7500  8 P 3.00-3.03
Nd9 0.7500 0.1250 0.3750  8 P 3.00-3.03
Nd10 0.7500 0.6250 0.8750  8 P 3.00-3.03
Nd11 0.8750 0.6250 0.2500  8 P 3.00-3.03
Nd12 0.8750 0.7500 0.6250  8 P 3.00-3.03
Np1 0.0000 0.0000 0.0000  6 P 2.65
Np2 0.0000 0.0000 0.5000  6 P 2.65
Np3 0.0000 0.5000 0.0000  6 P 2.65
Np4 0.0000 0.5000 0.5000  6 P 2.65
Np5 0.1250 0.7500 0.8750  4 P 2.59
Np6 0.1250 0.8750 0.2500  4 P 2.59
Np7 0.2500 0.1250 0.8750  4 P 2.59
Np8 0.2500 0.6250 0.3750  4 P 2.59
Np9 0.3750 0.2500 0.6250  4 P 2.59
Np10 0.3750 0.6250 0.7500  4 P 2.59
Np11 0.5000 0.0000 0.0000  6 P 2.65
Np12 0.5000 0.0000 0.5000  6 P 2.65
Np13 0.5000 0.5000 0.0000  6 P 2.65
Np14 0.5000 0.5000 0.5000  6 P 2.65
Np15 0.6250 0.3750 0.2500  4 P 2.59
Np16 0.6250 0.7500 0.3750  4 P 2.59
Np17 0.7500 0.3750 0.6250  4 P 2.59
Np18 0.7500 0.8750 0.1250  4 P 2.59
Np19 0.8750 0.1250 0.7500  4 P 2.59
Np20 0.8750 0.2500 0.1250  4 P 2.59
P1 0.0471 0.2154 0.1299  2 Np 2.59-2.65
P2 0.0471 0.3316 0.9171  2 Np 2.59-2.65
P3 0.0829 0.6299 0.4145  2 Np 2.59-2.65
P4 0.0829 0.9529 0.6684  2 Np 2.59-2.65
P5 0.0855 0.7154 0.6684  2 Np 2.59-2.65
P6 0.0855 0.8701 0.4171  2 Np 2.59-2.65
P7 0.1299 0.0471 0.2154  2 Np 2.59-2.65
P8 0.1299 0.5829 0.9145  2 Np 2.59-2.65
P9 0.1684 0.2154 0.5855  2 Np 2.59-2.65
P10 0.1684 0.4529 0.5829  2 Np 2.59-2.65
P11 0.2154 0.1299 0.0471  2 Np 2.59-2.65
P12 0.2154 0.5855 0.1684  2 Np 2.59-2.65
P13 0.2846 0.3316 0.9145  2 Np 2.59-2.65
P14 0.2846 0.4529 0.3701  2 Np 2.59-2.65
P15 0.3316 0.9145 0.2846  2 Np 2.59-2.65
P16 0.3316 0.9171 0.0471  2 Np 2.59-2.65
P17 0.3701 0.2846 0.4529  2 Np 2.59-2.65
P18 0.3701 0.5855 0.9171  2 Np 2.59-2.65
P19 0.4145 0.0829 0.6299  2 Np 2.59-2.65
P20 0.4145 0.8316 0.7846  2 Np 2.59-2.65
P21 0.4171 0.0855 0.8701  2 Np 2.59-2.65
P22 0.4171 0.8316 0.5471  2 Np 2.59-2.65
P23 0.4529 0.3701 0.2846  2 Np 2.59-2.65
P24 0.4529 0.5829 0.1684  2 Np 2.59-2.65
P25 0.5471 0.4171 0.8316  2 Np 2.59-2.65
P26 0.5471 0.6299 0.7154  2 Np 2.59-2.65
P27 0.5829 0.1684 0.4529  2 Np 2.59-2.65
P28 0.5829 0.9145 0.1299  2 Np 2.59-2.65
P29 0.5855 0.1684 0.2154  2 Np 2.59-2.65
P30 0.5855 0.9171 0.3701  2 Np 2.59-2.65
P31 0.6299 0.4145 0.0829  2 Np 2.59-2.65
P32 0.6299 0.7154 0.5471  2 Np 2.59-2.65
P33 0.6684 0.0829 0.9529  2 Np 2.59-2.65
P34 0.6684 0.0855 0.7154  2 Np 2.59-2.65
P35 0.7154 0.5471 0.6299  2 Np 2.59-2.65
P36 0.7154 0.6684 0.0855  2 Np 2.59-2.65
P37 0.7846 0.4145 0.8316  2 Np 2.59-2.65
P38 0.7846 0.8701 0.9529  2 Np 2.59-2.65
P39 0.8316 0.5471 0.4171  2 Np 2.59-2.65
P40 0.8316 0.7846 0.4145  2 Np 2.59-2.65
P41 0.8701 0.4171 0.0855  2 Np 2.59-2.65
P42 0.8701 0.9529 0.7846  2 Np 2.59-2.65
P43 0.9145 0.1299 0.5829  2 Np 2.59-2.65
P44 0.9145 0.2846 0.3316  2 Np 2.59-2.65
P45 0.9171 0.0471 0.3316  2 Np 2.59-2.65
P46 0.9171 0.3701 0.5855  2 Np 2.59-2.65
P47 0.9529 0.6684 0.0829  2 Np 2.59-2.65
P48 0.9529 0.7846 0.8701  2 Np 2.59-2.65

Record 11
A relaxed structure of SiSn2HPb. Source: the Alexandria database, functional PBE-GGA.

a b c (Å): 4.5486 4.5486 5.2566
angles (deg): 90.00 90.00 90.00
Closest atoms and distances in Å follow each position.
Positions (direct):
Si1 0.0000 0.0000 0.0000  4 Pb 3.22, 8 Sn 3.48
Sn1 0.0000 0.5000 0.5000  2 H 2.27
Sn2 0.5000 0.0000 0.5000  2 H 2.27
H1 0.5000 0.5000 0.5000  4 Sn 2.27
Pb1 0.5000 0.5000 0.0000  2 H 2.63

Record 12
A relaxed structure of In2SnP. Source: the Alexandria database, functional PBE-GGA.

a b c (Å): 7.5804 7.5804 7.5804
angles (deg): 129.99 129.99 73.42
Closest atoms and distances in Å follow each position.
Positions (direct):
In1 0.0880 0.6250 0.9630  2 P 2.60, 2 Sn 2.87
In2 0.3750 0.3380 0.4630  2 P 2.60, 2 Sn 2.87
In3 0.6620 0.1250 0.0370  2 P 2.60, 2 Sn 2.87
In4 0.8750 0.9120 0.5370  2 P 2.60, 2 Sn 2.87
Sn1 0.2500 0.7500 0.5000  4 In 2.87
Sn2 0.5000 0.5000 0.0000  4 In 2.87
P1 0.0000 0.0000 0.0000  4 In 2.60
P2 0.7500 0.2500 0.5000  4 In 2.60

no.,DFT total energy (eV/atom)
1,-5.15
2,-6.58
3,-4.48
4,-1.68
5,-5.56
6,-6.81
7,-5.53
8,-3.30
9,-1.89
10,-7.49
11,-3.62
12,-3.67